Here is a relaxed ZrSc2In crystal from Alexandria via LeMat-Bulk. Energies are from PBE.

```
ZrSc2In
1.0
7.995 0.000 0.000
0.000 7.995 0.000
0.000 0.000 6.077
Zr Sc In
4 8 4
Cartesian
0.000 0.000 0.000 Zr
0.000 3.998 1.519 Zr
3.998 0.000 4.558 Zr
3.998 3.998 3.038 Zr
1.901 1.999 3.798 Sc
1.999 5.899 5.317 Sc
1.999 6.094 2.279 Sc
2.096 1.999 0.760 Sc
5.899 5.997 0.760 Sc
5.997 1.901 2.279 Sc
5.997 2.096 5.317 Sc
6.094 5.997 3.798 Sc
0.000 0.000 3.038 In
0.000 3.998 4.558 In
3.998 0.000 1.519 In
3.998 3.998 0.000 In
```

## Properties
Formation energy   0.80 eV/f.u.
D(E_F)   19.40 states/eV/cell

---

Here is a relaxed KMn3 crystal from Alexandria via LeMat-Bulk. Energies are from PBE.

```
KMn3
1.0
7.091 0.000 0.000
0.000 7.091 0.000
0.000 0.000 7.091
K Mn
4 12
Cartesian
0.000 0.000 0.000 K
0.000 3.545 3.545 K
3.545 0.000 3.545 K
3.545 3.545 0.000 K
0.000 0.000 3.545 Mn
0.000 3.545 0.000 Mn
1.773 1.773 1.773 Mn
1.773 1.773 5.318 Mn
1.773 5.318 1.773 Mn
1.773 5.318 5.318 Mn
3.545 0.000 0.000 Mn
3.545 3.545 3.545 Mn
5.318 1.773 1.773 Mn
5.318 1.773 5.318 Mn
5.318 5.318 1.773 Mn
5.318 5.318 5.318 Mn
```

## Properties
Formation energy   5.28 eV/f.u.
D(E_F)   17.56 states/eV/cell
E above lowest polymorph   59.21 kJ per mole of atoms

---

Here is a relaxed Cd2InO3 crystal from Alexandria via LeMat-Bulk. Energies are from PBE.

```
Cd2InO3
1.0
5.478 -3.176 0.000
5.478 3.176 0.000
0.000 0.000 5.936
Cd In O
4 2 6
Cartesian
1.824 1.053 0.000 Cd
1.824 -1.053 2.968 Cd
9.132 1.053 0.000 Cd
9.132 -1.053 2.968 Cd
5.478 1.049 5.916 In
5.478 -1.049 2.948 In
3.733 2.069 5.248 O
7.224 2.069 5.248 O
5.478 0.961 2.145 O
5.478 -0.961 5.113 O
3.733 -2.069 2.280 O
7.224 -2.069 2.280 O
```

## Properties
D(E_F)   2.27 states/eV/cell
Raw formation energy   -1.11 eV per atom

---

In the order shown, the computed uncorrected energy values come out to -92.6, -93.3, -52.2 eV for the cell shown.